(1)
A relaxed CsNb3Tc crystal, computed with PBE-GGA.

a = 5.023 Å, b = 5.023 Å, c = 5.023 Å
α = 90.00°, β = 90.00°, γ = 90.00°
Fractional positions:
Cs 0.500 0.500 0.500
Nb 0.000 0.500 0.000
Nb 0.500 0.000 0.000
Nb 0.000 0.000 0.500
Tc 0.000 0.000 0.000

* ΔE to the lowest computed polymorph: 0.000 eV/atom
* SG: Pm-3m
* mass density: 6.676 g/cm³


(2)
A relaxed ZrBRh3 crystal, computed with PBE-GGA.

a = 5.022 Å, b = 7.071 Å, c = 5.665 Å
α = 58.36°, β = 90.05°, γ = 62.59°
Fractional positions:
Rh 0.477 0.470 0.314
Rh 0.900 0.571 0.054
B 0.338 0.796 0.299
Rh 0.445 0.058 0.994
Zr 0.977 0.993 0.797
B 0.355 0.319 0.098
Rh 0.912 0.091 0.236
Rh 0.443 0.581 0.753
Rh 0.444 0.029 0.524
Zr 0.942 0.593 0.525

* SG: P1
* mass density: 9.473 g/cm³


(3)
A relaxed Sc3MnIr4 crystal, computed with PBE-GGA.

a = 3.209 Å, b = 3.209 Å, c = 12.578 Å
α = 90.00°, β = 90.00°, γ = 90.00°
Fractional positions:
Sc 0.500 0.500 0.241
Sc 0.500 0.500 0.500
Sc 0.500 0.500 0.759
Ir 0.000 0.000 0.628
Mn 0.500 0.500 0.000
Ir 0.000 0.000 0.884
Ir 0.000 0.000 0.116
Ir 0.000 0.000 0.372

* SG: P4/mmm
* mass density: 12.288 g/cm³


(4)
A relaxed NdHoAlGe crystal, computed with PBE-GGA.

a = 4.449 Å, b = 4.073 Å, c = 5.953 Å
α = 90.00°, β = 111.94°, γ = 90.00°
Fractional positions:
Ho 0.860 0.500 0.719
Al 0.425 0.000 0.849
Nd 0.141 0.000 0.282
Ge 0.575 0.500 0.149

* SG: Amm2
* mass density: 6.784 g/cm³


Number 1: energy of formation from the pure elements 1416 meV/atom, total magnetic moment 0.977 μB per cell. Number 2: energy of formation from the pure elements -598 meV/atom, total magnetic moment 0.000 μB per cell. Number 3: energy of formation from the pure elements -768 meV/atom, total magnetic moment 4.595 μB per cell. Number 4: energy of formation from the pure elements -669 meV/atom, total magnetic moment 0.000 μB per cell.